DFT (PBE) results for a relaxed Ac4GaHg crystal.

VASP energy, eV per cell: -42.79
Total magnetization, μB/cell: 0.000
Energy relative to the elements, kJ/mol of formula units: -158
Offset from the most stable computed form, eV/atom: 0.0000
N(E_F), states/eV/f.u.: 9.5

```
data_Ac4GaHg
_symmetry_space_group_name_H-M 'P 4/m c c'
_symmetry_Int_Tables_number 124
_symmetry_space_group_name_Hall '-P 4 2c'
_cell_length_a 7.7597
_cell_length_b 7.7597
_cell_length_c 7.4907
_cell_angle_alpha 90.00
_cell_angle_beta 90.00
_cell_angle_gamma 90.00
loop_
_atom_site_label
_atom_site_type_symbol
_atom_site_fract_x
_atom_site_fract_y
_atom_site_fract_z
Ac1 Ac 0.1720 0.3155 0.0000
Ga1 Ga 0.0000 0.0000 0.2500
Hg1 Hg 0.5000 0.5000 0.2500
```